Record 1
This record from Alexandria via LeMat-Bulk describes an optimized crystal structure of Gd2TcNi. The functional is PBE.

The structure in POSCAR format:
```
Gd2TcNi
1.0
3.4695 0.0000 0.0000
0.0000 3.4695 0.0000
0.0000 0.0000 6.7298
Gd Tc Ni
2 1 1
Direct
0.0000 0.0000 0.2504
0.0000 0.0000 0.7496
0.5000 0.5000 0.0000
0.5000 0.5000 0.5000
```

DFT total energy   -11.18 eV/atom

***

Record 2
This record from Alexandria via LeMat-Bulk describes an optimized crystal structure of Gd2TcNi. The functional is PBE.

The structure in POSCAR format:
```
Gd2TcNi
1.0
1.6491 0.9521 9.3549
-1.6491 0.9521 9.3549
0.0000 -1.9042 9.3549
Gd Tc Ni
2 1 1
Direct
0.0911 0.0911 0.0911
0.9089 0.9089 0.9089
0.5000 0.5000 0.5000
0.0000 0.0000 0.0000
```

DFT total energy   -10.60 eV/atom

***

Record 3
This record from Alexandria via LeMat-Bulk describes an optimized crystal structure of GdYTcNi. The functional is PBE.

The structure in POSCAR format:
```
GdYTcNi
1.0
0.0000 3.4198 3.4198
3.4198 0.0000 3.4198
3.4198 3.4198 0.0000
Gd Y Tc Ni
1 1 1 1
Direct
0.0000 0.0000 0.0000
0.5000 0.5000 0.5000
0.2500 0.2500 0.2500
0.7500 0.7500 0.7500
```

DFT total energy   -9.24 eV/atom

***

Record 4
This record from Alexandria via LeMat-Bulk describes an optimized crystal structure of GdZrTcNi. The functional is PBE.

The structure in POSCAR format:
```
GdZrTcNi
1.0
0.0000 3.3390 3.3390
3.3390 0.0000 3.3390
3.3390 3.3390 0.0000
Gd Zr Tc Ni
1 1 1 1
Direct
0.0000 0.0000 0.0000
0.5000 0.5000 0.5000
0.2500 0.2500 0.2500
0.7500 0.7500 0.7500
```

DFT total energy   -9.90 eV/atom

***

Record 5
This record from Alexandria via LeMat-Bulk describes an optimized crystal structure of GdNiTe2. The functional is PBE.

The structure in POSCAR format:
```
GdNiTe2
1.0
1.8781 1.0843 9.0309
-1.8781 1.0843 9.0309
0.0000 -2.1686 9.0309
Gd Ni Te
1 1 2
Direct
0.0000 0.0000 0.0000
0.5000 0.5000 0.5000
0.1138 0.1138 0.1138
0.8862 0.8862 0.8862
```

Formation energy from raw total energies   -201 meV/atom

***

Record 6
This record from Alexandria via LeMat-Bulk describes an optimized crystal structure of Gd2NiTe. The functional is PBE.

The structure in POSCAR format:
```
Gd2NiTe
1.0
2.0402 1.1779 7.3645
-2.0402 1.1779 7.3645
0.0000 -2.3558 7.3645
Gd Ni Te
2 1 1
Direct
0.2365 0.2365 0.2365
0.7635 0.7635 0.7635
0.5000 0.5000 0.5000
0.0000 0.0000 0.0000
```

Formation energy from raw total energies   -809 meV/atom

***

Record 7
This record from Alexandria via LeMat-Bulk describes an optimized crystal structure of Gd2ThNi. The functional is PBE.

The structure in POSCAR format:
```
Gd2ThNi
1.0
3.4672 0.0000 0.0000
0.0000 3.4672 0.0000
0.0000 0.0000 8.6097
Gd Th Ni
2 1 1
Direct
0.0000 0.0000 0.1914
0.0000 0.0000 0.8086
0.5000 0.5000 0.5000
0.5000 0.5000 0.0000
```

Offset from the most stable computed form   0 meV per atom

***

Record 8
This record from Alexandria via LeMat-Bulk describes an optimized crystal structure of GdTh2Ni. The functional is PBE.

The structure in POSCAR format:
```
GdTh2Ni
1.0
3.5560 0.0000 0.0000
0.0000 3.5560 0.0000
0.0000 0.0000 8.5380
Gd Th Ni
1 2 1
Direct
0.0000 0.0000 0.0000
0.5000 0.5000 0.3076
0.5000 0.5000 0.6924
0.0000 0.0000 0.5000
```

Offset from the most stable computed form   0 meV per atom

***

Record 9
This record from Alexandria via LeMat-Bulk describes an optimized crystal structure of Gd2ThNi. The functional is PBE.

The structure in POSCAR format:
```
Gd2ThNi
1.0
1.7725 1.0234 10.5027
-1.7725 1.0234 10.5027
0.0000 -2.0467 10.5027
Gd Th Ni
2 1 1
Direct
0.1100 0.1100 0.1100
0.8900 0.8900 0.8900
0.0000 0.0000 0.0000
0.5000 0.5000 0.5000
```

Offset from the most stable computed form   243 meV per atom

***

Record 10
This record from Alexandria via LeMat-Bulk describes an optimized crystal structure of GdTh2Ni. The functional is PBE.

The structure in POSCAR format:
```
GdTh2Ni
1.0
1.8268 1.0547 10.2207
-1.8268 1.0547 10.2207
0.0000 -2.1094 10.2207
Gd Th Ni
1 2 1
Direct
0.0000 0.0000 0.0000
0.1078 0.1078 0.1078
0.8922 0.8922 0.8922
0.5000 0.5000 0.5000
```

Offset from the most stable computed form   225 meV per atom

***

Record 11
This record from Alexandria via LeMat-Bulk describes an optimized crystal structure of GdThZnNi. The functional is PBE.

The structure in POSCAR format:
```
GdThZnNi
1.0
0.0000 3.5538 3.5538
3.5538 0.0000 3.5538
3.5538 3.5538 0.0000
Gd Th Zn Ni
1 1 1 1
Direct
0.0000 0.0000 0.0000
0.5000 0.5000 0.5000
0.2500 0.2500 0.2500
0.7500 0.7500 0.7500
```

DFT total energy   -7.37 eV/atom

***

Record 12
This record from Alexandria via LeMat-Bulk describes an optimized crystal structure of Gd2TiNi. The functional is PBE.

The structure in POSCAR format:
```
Gd2TiNi
1.0
3.4277 0.0000 0.0000
0.0000 3.4277 0.0000
0.0000 0.0000 7.5075
Gd Ti Ni
2 1 1
Direct
0.0000 0.0000 0.2212
0.0000 0.0000 0.7788
0.5000 0.5000 0.5000
0.5000 0.5000 0.0000
```

DFT total energy   -10.46 eV/atom

***

Record 13
This record from Alexandria via LeMat-Bulk describes an optimized crystal structure of GdTiNi2. The functional is PBE.

The structure in POSCAR format:
```
GdTiNi2
1.0
3.1080 0.0000 0.0000
0.0000 3.1080 0.0000
0.0000 0.0000 6.8268
Gd Ti Ni
1 1 2
Direct
0.0000 0.0000 0.0000
0.0000 0.0000 0.5000
0.5000 0.5000 0.3078
0.5000 0.5000 0.6922
```

DFT total energy   -8.72 eV/atom

***

Record 14
This record from Alexandria via LeMat-Bulk describes an optimized crystal structure of Gd2TlNi. The functional is PBE.

The structure in POSCAR format:
```
Gd2TlNi
1.0
0.0000 3.6585 3.6585
3.6585 0.0000 3.6585
3.6585 3.6585 0.0000
Gd Tl Ni
2 1 1
Direct
0.2500 0.2500 0.2500
0.7500 0.7500 0.7500
0.0000 0.0000 0.0000
0.5000 0.5000 0.5000
```

Offset from the most stable computed form   115 meV per atom

***

Record 15
This record from Alexandria via LeMat-Bulk describes an optimized crystal structure of Gd2TlNi. The functional is PBE.

The structure in POSCAR format:
```
Gd2TlNi
1.0
3.4987 0.0000 0.0000
0.0000 3.4987 0.0000
0.0000 0.0000 7.8612
Gd Tl Ni
2 1 1
Direct
0.0000 0.0000 0.2100
0.0000 0.0000 0.7900
0.5000 0.5000 0.5000
0.5000 0.5000 0.0000
```

Offset from the most stable computed form   0 meV per atom